This record from the Alexandria database describes an optimized crystal structure of LiPtCl2. The functional is GGA-PBE.

Properties
electronic total energy: -3.245 eV per atom
offset from the most stable computed form: 390 meV per atom
magnetic moment: 0.00 μB per atom

Cell: 4.597 4.597 3.208 Å, 90.00 90.00 90.00°
Positions (direct):
Li: 0.000 0.000 0.000
Pt: 0.500 0.500 0.000
Cl: 0.000 0.500 0.500
Cl: 0.500 0.000 0.500